Below is crystalline LiYCuGe2 at its relaxed geometry, with properties calculated at the PBE level.

The structure belongs to space group I-4m2 (No. 119); the cell edges are 4.0254, 4.0254 and 10.6405 Å and the angles 90.00°, 90.00° and 90.00°. Symmetry generates all atoms from Li at (0.0000, 0.0000, 0.0000), Y at (0.0000, 0.5000, 0.7500), Cu at (0.0000, 0.0000, 0.5000) and Ge at (0.0000, 0.5000, 0.1339).

As for the volume: 17.24 Å³/atom. As for the theoretical density: 5.87 g cm⁻³. As for the total energy: -48.3 eV per cell.